A.
SrCa2Ag | PBE-GGA | relaxed

M_tot ... 0.000 μB/atom
Calculated density ... 3.27 g cm⁻³

Structure (POSCAR):
```
SrCa2Ag
1.0
-4.178 2.452 1.008
-2.616 -3.316 -2.777
-0.776 -3.189 4.539
Sr Ca Ag
1 2 1
Cartesian
-2.477 -0.369 2.774 Sr
0.000 0.000 0.000 Ca
-3.397 -0.432 -0.884 Ca
-1.696 -3.253 0.881 Ag
```


B.
SrCa2Ag | PBE-GGA | relaxed

M_tot ... 0.000 μB/atom
Calculated density ... 3.15 g cm⁻³

Structure (POSCAR):
```
SrCa2Ag
1.0
-6.110 -1.765 -0.226
4.240 -4.295 3.632
-0.751 0.892 3.584
Ca Sr Ag
2 1 1
Cartesian
0.000 0.000 0.000 Ca
-3.431 -0.436 1.679 Ca
1.744 -1.702 3.608 Sr
-0.935 -3.030 1.703 Ag
```


Relative to the most stable one, in eV/atom, the structures come out at A 0.000; B 0.092.


A.
SrCa2Ag | PBE-GGA | relaxed

M_tot ... 0.000 μB/atom
Calculated density ... 3.15 g cm⁻³

Structure (POSCAR):
```
SrCa2Ag
1.0
-1.692 -3.451 0.530
-0.443 -0.372 -3.836
8.624 -4.318 -0.579
Ag Ca Sr
1 2 1
Cartesian
5.557 -5.228 -2.098 Ag
0.945 -2.919 -1.788 Ca
8.121 -4.066 -0.545 Ca
4.802 -2.404 -0.322 Sr
```


B.
SrCa2Ag | PBE-GGA | relaxed

M_tot ... 0.000 μB/atom
Calculated density ... 3.13 g cm⁻³

Structure (POSCAR):
```
SrCa2Ag
1.0
-2.369 -0.623 -6.373
7.929 -0.098 -2.938
0.212 -10.097 0.908
Ca Sr Ag
8 4 4
Cartesian
0.750 -10.053 -5.545 Ca
5.022 -0.765 -2.857 Ca
5.128 -6.140 -6.029 Ca
5.209 -9.972 -5.684 Ca
0.563 -0.846 -2.718 Ca
5.102 -4.597 -2.513 Ca
0.644 -4.678 -2.373 Ca
0.670 -6.221 -5.889 Ca
7.539 -7.745 -2.959 Sr
2.983 -7.852 -3.084 Sr
2.789 -2.966 -5.318 Sr
-1.767 -3.073 -5.443 Sr
2.904 -2.611 -1.405 Ag
2.869 -8.207 -6.997 Ag
-0.288 -7.945 -3.354 Ag
6.060 -2.873 -5.048 Ag
```


Relative to the most stable one, in eV/atom, the structures come out at A 0.043; B 0.000.


A.
SrCa2Ag | PBE-GGA | relaxed

M_tot ... 0.000 μB/atom
Calculated density ... 3.38 g cm⁻³

Structure (POSCAR):
```
SrCa2Ag
1.0
0.000 4.076 4.076
4.076 0.000 4.076
4.076 4.076 0.000
Ca Ag Sr
2 1 1
Cartesian
2.038 2.038 2.038 Ca
6.114 6.114 6.114 Ca
4.076 4.076 4.076 Ag
0.000 0.000 0.000 Sr
```


B.
SrCa2Ag | PBE-GGA | relaxed

M_tot ... 0.000 μB/atom
Calculated density ... 3.22 g cm⁻³

Structure (POSCAR):
```
SrCa2Ag
1.0
6.542 0.003 0.000
2.564 6.019 0.000
-4.553 -3.011 3.606
Sr Ca Ag
1 2 1
Cartesian
4.553 3.011 0.000 Sr
0.000 0.000 0.000 Ca
1.282 3.010 1.803 Ca
3.271 0.001 1.803 Ag
```


Relative to the most stable one, in eV/atom, the structures come out at A 0.042; B 0.000.